(1)
A plane-wave DFT calculation with PBE-GGA was carried out for a relaxed structure of SnPdPtAu.

Lattice parameters (Å, degrees): 6.5296 6.5296 6.5296 90.00 90.00 90.00
Space group F-43m (No. 216)
Inequivalent atoms, fractional coordinates:
Sn (0.0000, 0.0000, 0.0000) [4 per cell]
Pd (0.2500, 0.2500, 0.7500) [4 per cell]
Pt (0.2500, 0.2500, 0.2500) [4 per cell]
Au (0.0000, 0.0000, 0.5000) [4 per cell]

Properties
* formation energy: -1.2 eV per formula unit

(2)
A plane-wave DFT calculation with PBE-GGA was carried out for a relaxed structure of PuClO.

Lattice parameters (Å, degrees): 4.2406 4.2406 12.5600 90.00 90.00 90.00
Space group I4/mmm (No. 139)
Inequivalent atoms, fractional coordinates:
Pu (0.0000, 0.0000, 0.1633) [4 per cell]
Cl (0.0000, 0.5000, 0.0000) [4 per cell]
O (0.0000, 0.5000, 0.2500) [4 per cell]

Properties
* formation energy without anion corrections: -2.46 eV/atom

(3)
A plane-wave DFT calculation with PBE-GGA was carried out for a relaxed structure of SmTmOs.

Lattice parameters (Å, degrees): 5.4393 5.4393 8.0450 90.00 90.00 120.00
Space group P3_212 (No. 153)
Inequivalent atoms, fractional coordinates:
Sm (0.1721, 0.3442, 0.3333) [3 per cell]
Tm (0.3774, 0.1887, 0.0000) [3 per cell]
Os (0.0126, 0.5063, 0.0000) [3 per cell]

Properties
* relative energy among the computed polymorphs: 347 meV/atom
* formation energy: 0.4 eV per formula unit

(4)
A plane-wave DFT calculation with PBE-GGA was carried out for a relaxed structure of PuPbO3.

Lattice parameters (Å, degrees): 6.2526 6.2526 6.3485 90.00 90.00 120.00
Space group P-6c2 (No. 188)
Inequivalent atoms, fractional coordinates:
Pu (0.0000, 0.0000, 0.0000) [2 per cell]
Pb (0.3333, 0.6667, 0.0000) [2 per cell]
O (0.0899, 0.2910, 0.2500) [6 per cell]

Properties
* formation energy without anion corrections: -1.95 eV/atom

(5)
A plane-wave DFT calculation with PBE-GGA was carried out for a relaxed structure of PrNbCo10.

Lattice parameters (Å, degrees): 3.9861 4.8099 8.4090 90.00 90.00 90.00
Space group Pmmm (No. 47)
Inequivalent atoms, fractional coordinates:
Pr (0.0000, 0.0000, 0.0000) [1 per cell]
Nb (0.0000, 0.5000, 0.5000) [1 per cell]
Co (0.0000, 0.0000, 0.3486) [2 per cell]
Co (0.0000, 0.5000, 0.1895) [2 per cell]
Co (0.5000, 0.0000, 0.5000) [1 per cell]
Co (0.5000, 0.2587, 0.2641) [4 per cell]
Co (0.5000, 0.5000, 0.0000) [1 per cell]

Properties
* formation energy: 0.4 eV per formula unit

(6)
A plane-wave DFT calculation with PBE-GGA was carried out for a relaxed structure of YCrBi2W.

Lattice parameters (Å, degrees): 5.1195 5.1195 5.0609 90.00 90.00 90.00
Space group P4/mmm (No. 123)
Inequivalent atoms, fractional coordinates:
Y (0.0000, 0.0000, 0.0000) [1 per cell]
Cr (0.0000, 0.0000, 0.5000) [1 per cell]
Bi (0.0000, 0.5000, 0.5000) [2 per cell]
W (0.5000, 0.5000, 0.0000) [1 per cell]

Properties
* formation energy: 6.2 eV per formula unit

(7)
A plane-wave DFT calculation with PBE-GGA was carried out for a relaxed structure of TiBrCl.

Lattice parameters (Å, degrees): 7.4083 6.6230 6.8330 90.00 105.32 90.00
Space group P2_1/c (No. 14)
Inequivalent atoms, fractional coordinates:
Ti (0.0033, 0.1313, 0.1481) [4 per cell]
Br (0.2450, 0.1705, 0.9192) [4 per cell]
Cl (0.2106, 0.6742, 0.7080) [4 per cell]

Properties
* relative energy among the computed polymorphs: 169 meV/atom
* formation energy without anion corrections: -1.14 eV/atom

(8)
A plane-wave DFT calculation with PBE-GGA was carried out for a relaxed structure of Cs2CuSiI6.

Lattice parameters (Å, degrees): 8.0988 8.0988 11.5261 90.00 90.00 90.00
Space group I4/mmm (No. 139)
Inequivalent atoms, fractional coordinates:
Cs (0.0000, 0.5000, 0.2500) [4 per cell]
Cu (0.0000, 0.0000, 0.0000) [2 per cell]
Si (0.0000, 0.0000, 0.5000) [2 per cell]
I (0.0000, 0.0000, 0.2518) [4 per cell]
I (0.2504, 0.2504, 0.0000) [8 per cell]

Properties
* formation energy without anion corrections: -0.67 eV/atom

Going through the records in order, we get Fermi-level density of states values of 1.19, 5.69, 2.18, 6.24, 17.44, 3.48, 0.37, 1.94 states/eV/f.u..